Compound: ZrGaCoTc
Source: Alexandria
Functional: GGA-PBE
Structure: optimized geometry

Computed properties:
E_tot (eV per atom): -7.5121
ρ (g cm⁻³): 8.7

```
4
Lattice="4.409 0.000 0.000 2.204 3.818 0.000 2.204 1.273 3.600" Properties=species:S:1:pos:R:3 pbc="T T T"
Ga 2.204 1.273 0.900
Zr 6.613 3.818 2.700
Tc 0.000 0.000 0.000
Co 4.409 2.545 1.800
```


Compound: Ga2Co2Te
Source: Alexandria
Functional: GGA-PBE
Structure: optimized geometry

Computed properties:
E_tot (eV per atom): -4.4153
ρ (g cm⁻³): 7.7
Formation energy without anion corrections (eV/atom): 0.2662
Relative energy among the computed polymorphs (meV/atom): 259.5

```
5
Lattice="-1.544 -2.109 -3.326 0.267 -3.620 2.172 -4.971 -2.222 1.027" Properties=species:S:1:pos:R:3 pbc="T T T"
Co -3.577 -3.598 -1.438
Co -2.671 -4.354 1.311
Ga -1.812 -2.691 -0.143
Ga -4.435 -5.261 0.015
Te 0.000 0.000 0.000
```


> Which formula does entry 1 have?

ZrGaCoTc